# 1
# LaSiC3 (PBE, relaxed)
data_LaSiC3
_chemical_formula_sum 'La1 Si1 C3'
_space_group_name_H-M_alt 'P m -3 m'
_space_group_IT_number 221
_space_group_name_Hall '-P 4 2 3'
_cell_length_a 3.9022
_cell_length_b 3.9022
_cell_length_c 3.9022
_cell_angle_alpha 90.00
_cell_angle_beta 90.00
_cell_angle_gamma 90.00
loop_
_atom_site_label
_atom_site_type_symbol
_atom_site_fract_x
_atom_site_fract_y
_atom_site_fract_z
La1 La 0.0000 0.0000 0.0000
Si1 Si 0.5000 0.5000 0.5000
C1 C 0.0000 0.5000 0.5000
# formation energy from raw total energies	4.33	eV/f.u.
# E above lowest polymorph	0.0	meV per atom


# 2
# La6SiC2 (PBE, relaxed)
data_La6SiC2
_chemical_formula_sum 'La24 Si4 C8'
_space_group_name_H-M_alt 'C 1 2/c 1'
_space_group_IT_number 15
_space_group_name_Hall '-C 2yc'
_cell_length_a 14.9551
_cell_length_b 9.6548
_cell_length_c 7.3010
_cell_angle_alpha 90.00
_cell_angle_beta 103.78
_cell_angle_gamma 90.00
loop_
_atom_site_label
_atom_site_type_symbol
_atom_site_fract_x
_atom_site_fract_y
_atom_site_fract_z
La1 La 0.1001 0.1260 0.1641
La2 La 0.1316 0.4593 0.9033
La3 La 0.1892 0.1748 0.6665
Si1 Si 0.0000 0.1599 0.7500
C1 C 0.2361 0.4285 0.6752
# formation energy from raw total energies	-0.81	eV/f.u.


# 3
# LaSiC (PBE, relaxed)
data_LaSiC
_chemical_formula_sum 'La4 Si4 C4'
_space_group_name_H-M_alt 'P n m a'
_space_group_IT_number 62
_space_group_name_Hall '-P 2ac 2n'
_cell_length_a 5.9878
_cell_length_b 4.5556
_cell_length_c 7.4652
_cell_angle_alpha 90.00
_cell_angle_beta 90.00
_cell_angle_gamma 90.00
loop_
_atom_site_label
_atom_site_type_symbol
_atom_site_fract_x
_atom_site_fract_y
_atom_site_fract_z
La1 La 0.1244 0.2500 0.1538
Si1 Si 0.0061 0.2500 0.6067
C1 C 0.2010 0.2500 0.8053
# formation energy from raw total energies	-0.25	eV/f.u.


# 4
# SrLaSiC2 (PBE, relaxed)
data_SrLaSiC2
_chemical_formula_sum 'Sr1 La1 Si1 C2'
_space_group_name_H-M_alt 'P 4/m m m'
_space_group_IT_number 123
_space_group_name_Hall '-P 4 2'
_cell_length_a 4.5781
_cell_length_b 4.5781
_cell_length_c 6.1449
_cell_angle_alpha 90.00
_cell_angle_beta 90.00
_cell_angle_gamma 90.00
loop_
_atom_site_label
_atom_site_type_symbol
_atom_site_fract_x
_atom_site_fract_y
_atom_site_fract_z
Sr1 Sr 0.0000 0.0000 0.0000
La1 La 0.0000 0.0000 0.5000
Si1 Si 0.5000 0.5000 0.5000
C1 C 0.0000 0.5000 0.0000
# formation energy from raw total energies	12.38	eV/f.u.


# 5
# SrLa2SiC (PBE, relaxed)
data_SrLa2SiC
_chemical_formula_sum 'Sr1 La2 Si1 C1'
_space_group_name_H-M_alt 'P 4/m m m'
_space_group_IT_number 123
_space_group_name_Hall '-P 4 2'
_cell_length_a 5.7847
_cell_length_b 5.7847
_cell_length_c 5.1570
_cell_angle_alpha 90.00
_cell_angle_beta 90.00
_cell_angle_gamma 90.00
loop_
_atom_site_label
_atom_site_type_symbol
_atom_site_fract_x
_atom_site_fract_y
_atom_site_fract_z
Sr1 Sr 0.0000 0.0000 0.0000
La1 La 0.0000 0.5000 0.0000
Si1 Si 0.0000 0.0000 0.5000
C1 C 0.5000 0.5000 0.5000
# formation energy from raw total energies	10.88	eV/f.u.


# 6
# La2Si2Tc2C (PBE, relaxed)
data_La2Si2Tc2C
_chemical_formula_sum 'La4 Si4 Tc4 C2'
_space_group_name_H-M_alt 'C 1 2/m 1'
_space_group_IT_number 12
_space_group_name_Hall '-C 2y'
_cell_length_a 11.4532
_cell_length_b 4.1798
_cell_length_c 7.3530
_cell_angle_alpha 90.00
_cell_angle_beta 129.22
_cell_angle_gamma 90.00
loop_
_atom_site_label
_atom_site_type_symbol
_atom_site_fract_x
_atom_site_fract_y
_atom_site_fract_z
La1 La 0.0643 0.0000 0.2995
Si1 Si 0.1657 0.5000 0.7251
Tc1 Tc 0.1995 0.5000 0.0889
C1 C 0.0000 0.5000 0.0000
# formation energy from raw total energies	-4.32	eV/f.u.